Entry 1:
This record from Alexandria via LeMat-Bulk describes TiBi3O6 after structural relaxation. The functional is GGA-PBE. Values from VASP.

The structure in Quantum ESPRESSO input format:
```
&SYSTEM
  ibrav = 0, nat = 20, ntyp = 3
/
ATOMIC_SPECIES
Bi 208.98 Bi.upf
O 16.00 O.upf
Ti 47.87 Ti.upf
CELL_PARAMETERS angstrom
5.548 0.000 0.051
0.000 6.476 0.000
0.146 0.000 8.126
ATOMIC_POSITIONS angstrom
Bi 5.542 2.959 5.967
O 0.794 0.545 6.302
O 1.758 5.480 0.210
O 4.605 4.234 4.298
O 3.495 2.693 2.265
O 3.936 0.996 7.967
Bi 2.774 3.238 0.026
O 2.199 3.783 5.912
Ti 0.000 0.000 0.000
O 1.089 2.242 3.879
O 1.884 4.799 3.298
O 4.900 5.931 1.875
O 4.731 4.915 7.387
Bi 0.073 0.000 4.063
Bi 0.152 3.517 2.210
Bi 2.999 6.197 6.299
O 0.963 1.561 0.790
Bi 2.695 0.279 1.879
Ti 2.847 3.238 4.089
O 3.810 1.677 4.879
```

## Properties
**Energy relative to the elements, uncorrected**: -1.581 eV per atom
**Fermi-level density of states**: 0.374 states/eV per atom
**Relative energy among the computed polymorphs**: 30.7 kJ/mol of formula units


Entry 2:
This record from Alexandria via LeMat-Bulk describes Ti8BiO7 after structural relaxation. The functional is GGA-PBE. Values from VASP.

The structure in Quantum ESPRESSO input format:
```
&SYSTEM
  ibrav = 0, nat = 16, ntyp = 3
/
ATOMIC_SPECIES
Ti 47.87 Ti.upf
O 16.00 O.upf
Bi 208.98 Bi.upf
CELL_PARAMETERS angstrom
-4.099 8.301 -1.269
-2.807 -7.410 4.952
1.438 1.082 2.434
ATOMIC_POSITIONS angstrom
Ti -4.220 3.835 2.670
Ti -1.212 0.156 0.647
O -3.682 3.229 0.739
Ti -3.835 5.094 0.001
O -5.843 2.627 2.283
O 0.719 0.541 1.217
O -3.224 -2.339 2.944
O -1.063 -1.737 1.400
Ti -3.778 -1.537 4.797
O -5.531 -1.160 3.783
Ti -1.248 -1.863 3.447
Ti -1.689 3.509 1.320
Ti -3.070 -4.203 3.682
O -1.374 2.051 -0.100
Ti -5.693 0.734 3.036
Bi -2.734 0.986 3.058
```

## Properties
**Energy relative to the elements, uncorrected**: -2.239 eV per atom
**Fermi-level density of states**: 0.472 states/eV per atom


Entry 3:
This record from Alexandria via LeMat-Bulk describes TiBi2O5 after structural relaxation. The functional is GGA-PBE. Values from VASP.

The structure in Quantum ESPRESSO input format:
```
&SYSTEM
  ibrav = 0, nat = 32, ntyp = 3
/
ATOMIC_SPECIES
O 16.00 O.upf
Bi 208.98 Bi.upf
Ti 47.87 Ti.upf
CELL_PARAMETERS angstrom
-0.153 1.211 -3.731
4.247 -9.779 -3.348
-10.511 -4.241 -0.945
ATOMIC_POSITIONS angstrom
O -6.899 -2.996 -1.722
O -3.922 -4.069 -2.192
O -5.335 -12.629 -6.977
O -6.852 -5.854 -2.651
O -0.268 -2.714 -1.902
O -9.204 -5.700 -4.570
Bi -6.567 -6.379 -4.899
O -2.496 -8.740 -5.832
O 0.012 -4.257 -4.480
O -4.350 -10.591 -4.291
Bi -3.135 -8.281 -3.592
Bi 0.150 -6.430 -3.126
O -4.337 -6.480 -5.023
O -2.080 -6.330 -3.002
Ti -0.205 -2.582 -3.927
Ti -0.604 -8.489 -5.828
O -5.638 -4.143 -4.211
O -1.083 -0.181 -1.047
Bi -3.282 -4.528 -4.432
O -6.429 -8.553 -3.545
O -0.779 -8.667 -3.814
Ti -5.814 -4.320 -2.196
O -2.067 -2.219 -3.733
Bi -9.411 -5.068 -2.291
O 0.481 -9.814 -6.302
O 0.434 -6.956 -5.373
Ti -6.212 -10.227 -4.097
Bi -3.844 -11.027 -6.519
Bi -2.573 -1.783 -1.506
O 2.786 -7.109 -3.454
O -6.149 -10.095 -6.122
Bi 2.994 -7.742 -5.733
```

## Properties
**Energy relative to the elements, uncorrected**: -1.922 eV per atom
**Fermi-level density of states**: 0.000 states/eV per atom
**Relative energy among the computed polymorphs**: 11.2 kJ/mol of formula units


Entry 4:
This record from Alexandria via LeMat-Bulk describes Ti3Bi4O12 after structural relaxation. The functional is GGA-PBE. Values from VASP.

The structure in Quantum ESPRESSO input format:
```
&SYSTEM
  ibrav = 0, nat = 19, ntyp = 3
/
ATOMIC_SPECIES
O 16.00 O.upf
Bi 208.98 Bi.upf
Ti 47.87 Ti.upf
CELL_PARAMETERS angstrom
-2.891 1.943 1.724
-2.484 -2.897 -0.737
2.194 -7.479 15.071
ATOMIC_POSITIONS angstrom
O -1.986 -5.384 10.260
O 0.054 -7.221 11.310
Bi -3.087 -3.880 7.121
Bi -0.094 -4.553 8.937
O -0.863 -7.092 13.804
O -2.317 -1.341 2.254
O -1.195 -3.049 5.798
O -1.445 0.972 0.862
Ti -1.636 -6.157 11.838
Bi -4.409 -1.821 2.852
Ti -2.687 -0.477 0.494
Bi 1.229 -6.612 13.206
O -3.235 -1.211 4.748
O -0.142 -4.891 12.495
O -1.488 -5.431 7.412
O -1.692 -3.002 8.646
O -1.242 -1.448 -0.368
O -3.039 -3.542 3.563
Ti -1.545 -2.276 4.220
```

## Properties
**Energy relative to the elements, uncorrected**: -2.074 eV per atom
**Fermi-level density of states**: 0.000 states/eV per atom
**Relative energy among the computed polymorphs**: 66.9 kJ/mol of formula units


Entry 5:
This record from Alexandria via LeMat-Bulk describes Ti3Bi4O12 after structural relaxation. The functional is GGA-PBE. Values from VASP.

The structure in Quantum ESPRESSO input format:
```
&SYSTEM
  ibrav = 0, nat = 38, ntyp = 3
/
ATOMIC_SPECIES
O 16.00 O.upf
Bi 208.98 Bi.upf
Ti 47.87 Ti.upf
CELL_PARAMETERS angstrom
-3.994 0.971 -3.589
-0.558 -5.432 -0.848
-11.591 -3.429 11.973
ATOMIC_POSITIONS angstrom
O -8.383 -6.644 3.312
Bi -6.278 -5.386 3.640
O -0.786 -4.744 -0.761
Bi -11.128 -3.175 9.403
O -5.127 -3.116 3.276
O -8.887 -2.542 8.776
O -9.121 -5.952 5.901
O -5.073 -1.579 0.789
O -13.327 -4.637 9.707
O -7.872 -5.232 0.636
O -5.081 -4.361 0.608
O -11.249 -6.476 9.344
O -13.593 -3.123 7.411
O -4.008 0.027 -1.175
Ti -12.820 -6.201 10.561
O -11.690 -7.133 6.661
O -12.749 -4.387 5.132
Bi -8.174 -2.142 2.110
Bi -7.925 -2.709 5.803
O -2.703 -1.795 2.378
O -13.873 -7.288 9.043
O -2.848 -3.038 -0.307
O -6.417 -7.132 5.138
O -10.061 -3.462 2.038
Bi -4.753 -2.131 -1.465
Ti -4.182 -2.957 1.796
Bi -9.999 -4.988 3.766
O -10.295 -2.883 5.020
O -6.837 -3.574 -1.510
O -8.035 -3.945 3.798
Ti -11.766 -2.835 6.056
O -11.150 -4.481 7.320
Bi -13.357 -5.417 7.227
Ti -10.001 -6.048 7.469
Bi -3.077 -5.322 -0.133
O -4.162 -1.139 -3.621
Ti -6.474 -5.184 -0.436
Ti -14.581 -2.989 9.152
```

## Properties
**Energy relative to the elements, uncorrected**: -2.111 eV per atom
**Fermi-level density of states**: 0.000 states/eV per atom
**Relative energy among the computed polymorphs**: 0.0 kJ/mol of formula units


Entry 6:
This record from Alexandria via LeMat-Bulk describes Ti2BiO6 after structural relaxation. The functional is GGA-PBE. Values from VASP.

The structure in Quantum ESPRESSO input format:
```
&SYSTEM
  ibrav = 0, nat = 18, ntyp = 3
/
ATOMIC_SPECIES
O 16.00 O.upf
Ti 47.87 Ti.upf
Bi 208.98 Bi.upf
CELL_PARAMETERS angstrom
6.522 -0.720 -1.305
-1.778 6.782 -0.547
-0.990 0.330 6.955
ATOMIC_POSITIONS angstrom
O 2.493 2.204 2.037
O 3.348 5.154 4.716
O 4.504 0.468 3.240
Ti 4.211 1.497 1.837
O -0.750 5.924 1.863
O 4.571 3.432 2.874
O 1.262 4.188 3.067
Ti 2.923 3.561 3.747
O 0.846 4.081 0.110
O 0.011 6.138 4.643
Bi -0.079 6.046 -0.227
Ti 0.831 2.832 1.356
Bi 3.834 0.346 5.330
O 2.908 2.311 4.993
O 0.406 1.239 0.388
Ti -0.457 4.896 3.266
O -0.817 2.960 2.229
O 3.743 0.255 0.461
```

## Properties
**Energy relative to the elements, uncorrected**: -2.277 eV per atom
**Fermi-level density of states**: 0.172 states/eV per atom


Entry 7:
This record from Alexandria via LeMat-Bulk describes TiBi2O5 after structural relaxation. The functional is GGA-PBE. Values from VASP.

The structure in Quantum ESPRESSO input format:
```
&SYSTEM
  ibrav = 0, nat = 16, ntyp = 3
/
ATOMIC_SPECIES
O 16.00 O.upf
Bi 208.98 Bi.upf
Ti 47.87 Ti.upf
CELL_PARAMETERS angstrom
-4.889 3.022 3.061
1.953 -2.302 -5.770
-4.305 -9.209 2.217
ATOMIC_POSITIONS angstrom
O -1.731 -4.665 -2.406
O -5.510 -3.823 1.913
O -3.279 -7.650 -1.523
O -7.128 -3.014 3.881
Bi -1.503 -6.821 -3.227
O -0.113 -5.474 -4.374
O -0.298 -1.600 -3.144
Ti -0.232 -3.741 -3.785
Bi -3.018 -10.063 -2.446
O -8.252 -5.420 4.460
O -3.963 -0.838 1.030
Bi -5.738 -1.667 2.734
Ti -7.009 -4.747 3.292
O -6.943 -6.888 2.651
Bi -4.223 1.575 1.953
O 1.011 -3.069 -4.953
```

## Properties
**Energy relative to the elements, uncorrected**: -1.844 eV per atom
**Fermi-level density of states**: 0.000 states/eV per atom
**Relative energy among the computed polymorphs**: 71.8 kJ/mol of formula units


Entry 8:
This record from Alexandria via LeMat-Bulk describes TiBi3O after structural relaxation. The functional is GGA-PBE. Values from VASP.

The structure in Quantum ESPRESSO input format:
```
&SYSTEM
  ibrav = 0, nat = 5, ntyp = 3
/
ATOMIC_SPECIES
Bi 208.98 Bi.upf
Ti 47.87 Ti.upf
O 16.00 O.upf
CELL_PARAMETERS angstrom
5.280 0.000 0.000
0.000 5.280 0.000
0.000 0.000 5.280
ATOMIC_POSITIONS angstrom
Bi 0.000 0.000 2.640
Bi 0.000 2.640 0.000
Ti 0.000 0.000 0.000
O 2.640 2.640 2.640
Bi 2.640 0.000 0.000
```

## Properties
**Energy relative to the elements, uncorrected**: 0.530 eV per atom
**Fermi-level density of states**: 1.127 states/eV per atom
**Relative energy among the computed polymorphs**: 272.1 kJ/mol of formula units


Entry 9:
This record from Alexandria via LeMat-Bulk describes Ti2Bi5O12 after structural relaxation. The functional is GGA-PBE. Values from VASP.

The structure in Quantum ESPRESSO input format:
```
&SYSTEM
  ibrav = 0, nat = 19, ntyp = 3
/
ATOMIC_SPECIES
O 16.00 O.upf
Ti 47.87 Ti.upf
Bi 208.98 Bi.upf
CELL_PARAMETERS angstrom
6.091 0.000 0.000
-3.046 6.372 0.024
0.000 -2.216 7.051
ATOMIC_POSITIONS angstrom
O -1.566 3.582 3.052
Ti 4.634 0.000 0.000
Bi 0.000 3.593 1.168
Bi 0.000 2.503 4.567
O 3.046 -1.814 5.784
Bi 0.000 -1.108 3.525
O -1.419 2.300 6.472
O 1.419 2.300 6.472
O 1.479 0.574 4.023
O 4.465 1.856 0.603
O 3.046 5.962 1.264
Ti 1.458 0.000 0.000
O 0.000 5.970 1.290
Bi 3.046 1.652 2.507
O 1.627 1.856 0.603
O 0.000 -1.806 5.811
O 4.612 0.574 4.023
O 1.566 3.582 3.052
Bi 3.046 0.563 5.906
```

## Properties
**Energy relative to the elements, uncorrected**: -1.761 eV per atom
**Fermi-level density of states**: 0.271 states/eV per atom


Entry 10:
This record from Alexandria via LeMat-Bulk describes TiBi2O5 after structural relaxation. The functional is GGA-PBE. Values from VASP.

The structure in Quantum ESPRESSO input format:
```
&SYSTEM
  ibrav = 0, nat = 16, ntyp = 3
/
ATOMIC_SPECIES
O 16.00 O.upf
Ti 47.87 Ti.upf
Bi 208.98 Bi.upf
CELL_PARAMETERS angstrom
8.477 -0.006 0.000
-6.562 5.366 0.000
0.000 0.000 5.635
ATOMIC_POSITIONS angstrom
O 4.671 1.205 2.858
O 1.767 4.946 5.442
Ti 0.363 1.017 4.380
Bi 3.910 2.866 4.070
Ti 1.552 4.344 1.563
O 2.090 1.383 4.761
O -0.740 2.394 4.761
Bi -1.995 2.495 1.252
O -2.850 3.892 2.858
Bi 3.125 0.666 1.252
O 0.148 0.415 2.624
O -2.756 4.156 0.040
O -0.175 3.977 1.943
O 4.765 1.469 0.040
Bi -1.210 4.695 4.070
O 2.655 2.967 1.943
```

## Properties
**Energy relative to the elements, uncorrected**: -1.937 eV per atom
**Fermi-level density of states**: 0.000 states/eV per atom
**Relative energy among the computed polymorphs**: 0.0 kJ/mol of formula units


Entry 11:
This record from Alexandria via LeMat-Bulk describes TiBi3O6 after structural relaxation. The functional is GGA-PBE. Values from VASP.

The structure in Quantum ESPRESSO input format:
```
&SYSTEM
  ibrav = 0, nat = 20, ntyp = 3
/
ATOMIC_SPECIES
O 16.00 O.upf
Bi 208.98 Bi.upf
Ti 47.87 Ti.upf
CELL_PARAMETERS angstrom
6.049 0.000 0.000
0.000 7.203 -1.831
0.000 -0.178 7.430
ATOMIC_POSITIONS angstrom
O 1.383 4.655 3.651
O 3.500 6.986 -1.559
Bi 2.866 6.538 3.479
Bi 5.890 4.850 5.597
O 3.908 6.598 1.362
Ti 0.098 1.161 5.750
O 0.883 0.427 4.237
Ti 3.122 5.864 -0.151
O 4.358 1.377 5.479
O 0.883 2.800 6.128
O 4.407 2.370 1.948
O 4.407 4.597 3.723
Bi 5.889 4.177 1.966
O 3.908 4.225 -0.529
O 1.383 2.428 1.876
Bi 2.866 2.175 0.002
Bi 2.865 2.848 3.633
Bi 5.890 0.487 2.120
O 0.475 0.039 7.158
O 1.334 5.648 0.120
```

## Properties
**Energy relative to the elements, uncorrected**: -1.613 eV per atom
**Fermi-level density of states**: 0.146 states/eV per atom
**Relative energy among the computed polymorphs**: 0.0 kJ/mol of formula units


Entry 12:
This record from Alexandria via LeMat-Bulk describes TiBi2O5 after structural relaxation. The functional is GGA-PBE. Values from VASP.

The structure in Quantum ESPRESSO input format:
```
&SYSTEM
  ibrav = 0, nat = 8, ntyp = 3
/
ATOMIC_SPECIES
Ti 47.87 Ti.upf
O 16.00 O.upf
Bi 208.98 Bi.upf
CELL_PARAMETERS angstrom
-1.846 -3.063 -4.240
5.226 -1.276 -1.355
-1.882 -1.604 5.612
ATOMIC_POSITIONS angstrom
Ti 1.508 -5.739 -0.135
O 0.768 -1.373 -1.032
O -0.219 -3.012 -3.297
O 2.574 -3.694 -4.022
O 1.581 -4.328 -1.184
Bi -0.986 -2.759 -1.206
Bi 2.550 -1.867 0.235
O 3.561 -2.056 -1.756
```

## Properties
**Energy relative to the elements, uncorrected**: -1.811 eV per atom
**Fermi-level density of states**: 0.000 states/eV per atom
**Relative energy among the computed polymorphs**: 97.3 kJ/mol of formula units